LiTlSnHg2: optimized geometry, PBE-GGA.

Cell lengths 5.057, 5.057, 5.231 Å; angles 90.00, 90.00, 90.00 degrees
Element x y z (fractional)
Li: 0.000 0.000 0.000
Tl: 0.500 0.500 0.500
Sn: 0.000 0.000 0.500
Hg: 0.000 0.500 0.000
Hg: 0.500 0.000 0.000

Values from the calculation:
M_tot: 0.00 μB/cell
Energy above the most stable polymorph in this dataset: 71 kJ/mol of formula units
ΔH_f (0 K): 0.062 eV/atom
Final energy: -8.577 eV/cell